Record 1
## Co (GGA-PBE)

Data for an optimized crystal structure of Co.

Calculated values
energy relative to the elements	99.2	meV/atom

a = 3.9548 Å, b = 3.9548 Å, c = 7.2677 Å
α = 90.00°, β = 90.00°, γ = 120.00°
With the nearest neighbours (Å) after each atom.
Element x y z (fractional)
Co: 0.0000 0.0000 0.0000  8 Co 2.42
Co: 0.6667 0.3333 0.1121  8 Co 2.42
Co: 0.3333 0.6667 0.2214  8 Co 2.42
Co: 0.0000 0.0000 0.3333  8 Co 2.42
Co: 0.6667 0.3333 0.4452  8 Co 2.42
Co: 0.3333 0.6667 0.5548  8 Co 2.42
Co: 0.0000 0.0000 0.6667  8 Co 2.42
Co: 0.6667 0.3333 0.7786  8 Co 2.42
Co: 0.3333 0.6667 0.8879  8 Co 2.42

=====

Record 2
## LiZr2Os (GGA-PBE)

Data for an optimized crystal structure of LiZr2Os.

Calculated values
E	-7.308	eV per atom

a = 4.7940 Å, b = 4.7940 Å, c = 7.8190 Å
α = 90.00°, β = 90.00°, γ = 120.00°
With the nearest neighbours (Å) after each atom.
Element x y z (fractional)
Li: 0.0000 0.0000 0.0000  6 Zr 2.85
Li: 0.0000 0.0000 0.5000  6 Zr 2.85
Os: 0.3333 0.6667 0.2500  2 Zr 2.65
Os: 0.6667 0.3333 0.7500  2 Zr 2.65
Zr: 0.6667 0.3333 0.0885  1 Zr 2.53, 1 Os 2.65
Zr: 0.6667 0.3333 0.4115  1 Zr 2.53, 1 Os 2.65
Zr: 0.3333 0.6667 0.5885  1 Zr 2.53, 1 Os 2.65
Zr: 0.3333 0.6667 0.9115  1 Zr 2.53, 1 Os 2.65

=====

Record 3
## NaTmCd (GGA-PBE)

Data for an optimized crystal structure of NaTmCd.

Calculated values
E	-1.963	eV per atom

a = 5.0301 Å, b = 5.0301 Å, c = 5.0301 Å
α = 60.00°, β = 60.00°, γ = 60.00°
With the nearest neighbours (Å) after each atom.
Element x y z (fractional)
Cd: 0.0000 0.0000 0.0000  4 Tm 3.08, 4 Na 3.08
Na: 0.2500 0.2500 0.2500  4 Cd 3.08
Tm: 0.7500 0.7500 0.7500  4 Cd 3.08

=====

What total magnetization values result from the calculations? In sequence: 1.7, 0.0, 0.2 μB/f.u..